# SrCaZn3, relaxed, DFT PBE
# Calculated formation energy = 321 meV per atom
# Magnetization = 0.00 μB/f.u.
# Calculated total energy = -1.180 eV per atom
data_SrCaZn3
_chemical_formula_sum 'Sr1 Ca1 Zn3'
_symmetry_space_group_name_H-M 'P m -3 m'
_symmetry_Int_Tables_number 221
_symmetry_space_group_name_Hall '-P 4 2 3'
_cell_length_a 5.498
_cell_length_b 5.498
_cell_length_c 5.498
_cell_angle_alpha 90.00
_cell_angle_beta 90.00
_cell_angle_gamma 90.00
loop_
_atom_site_label
_atom_site_type_symbol
_atom_site_fract_x
_atom_site_fract_y
_atom_site_fract_z
Sr1 Sr 0.000 0.000 0.000
Ca1 Ca 0.500 0.500 0.500
Zn1 Zn 0.000 0.500 0.500

---

# Sr4CaZn, relaxed, DFT PBE
# Calculated formation energy = -55 meV per atom
# Magnetization = 0.00 μB/f.u.
# Calculated total energy = -1.722 eV per atom
data_Sr4CaZn
_chemical_formula_sum 'Sr4 Ca1 Zn1'
_symmetry_space_group_name_H-M 'P 4/m m m'
_symmetry_Int_Tables_number 123
_symmetry_space_group_name_Hall '-P 4 2'
_cell_length_a 4.025
_cell_length_b 4.025
_cell_length_c 16.277
_cell_angle_alpha 90.00
_cell_angle_beta 90.00
_cell_angle_gamma 90.00
loop_
_atom_site_label
_atom_site_type_symbol
_atom_site_fract_x
_atom_site_fract_y
_atom_site_fract_z
Sr1 Sr 0.000 0.000 0.115
Sr2 Sr 0.500 0.500 0.317
Ca1 Ca 0.000 0.000 0.500
Zn1 Zn 0.500 0.500 0.000

---

# Sr2CaZn3, relaxed, DFT PBE
# Calculated formation energy = -193 meV per atom
# Magnetization = 0.00 μB/f.u.
# Calculated total energy = -1.724 eV per atom
data_Sr2CaZn3
_chemical_formula_sum 'Sr2 Ca1 Zn3'
_symmetry_space_group_name_H-M 'P 4/m m m'
_symmetry_Int_Tables_number 123
_symmetry_space_group_name_Hall '-P 4 2'
_cell_length_a 3.845
_cell_length_b 3.845
_cell_length_c 11.404
_cell_angle_alpha 90.00
_cell_angle_beta 90.00
_cell_angle_gamma 90.00
loop_
_atom_site_label
_atom_site_type_symbol
_atom_site_fract_x
_atom_site_fract_y
_atom_site_fract_z
Sr1 Sr 0.000 0.000 0.174
Ca1 Ca 0.000 0.000 0.500
Zn1 Zn 0.500 0.500 0.000
Zn2 Zn 0.500 0.500 0.352

---

How do the records compare in DOS(E_F)? In the order shown, they have 1.1923; 1.0508; 0.7711 states/eV/atom.